No. 1
{
  "formula": "EuZnSb2",
  "functional": "GGA-PBE",
  "state": "optimized geometry",
  "lattice_angstrom": [[2.440, 1.408, 5.292], [-2.440, 1.408, 5.292], [0.000, -2.817, 5.292]],
  "species": ["Eu", "Zn", "Sb", "Sb"],
  "fractional_positions": [[0.000, 0.000, 0.000], [0.500, 0.500, 0.500], [0.219, 0.219, 0.219], [0.781, 0.781, 0.781]],
  "n_ef_per_ev_cell": 2.136,
  "raw_formation_energy_ev_per_atom": -0.3121,
  "volume_a3_per_fu": 109
}


No. 2
{
  "formula": "Cs2HoCu2Te4",
  "functional": "GGA-PBE",
  "state": "optimized geometry",
  "lattice_angstrom": [[8.076, -2.158, 0.000], [8.076, 2.158, 0.000], [-2.762, 0.000, 8.698]],
  "species": ["Cs", "Cs", "Ho", "Cu", "Cu", "Te", "Te", "Te", "Te"],
  "fractional_positions": [[0.134, 0.134, 0.052], [0.866, 0.866, 0.948], [0.000, 0.000, 0.500], [0.318, 0.318, 0.514], [0.682, 0.682, 0.486], [0.199, 0.199, 0.663], [0.476, 0.476, 0.721], [0.524, 0.524, 0.279], [0.801, 0.801, 0.337]],
  "n_ef_per_ev_cell": 3.636,
  "raw_formation_energy_ev_per_atom": -0.8403,
  "volume_a3_per_fu": 303
}


No. 3
{
  "formula": "SrBePt3",
  "functional": "GGA-PBE",
  "state": "optimized geometry",
  "lattice_angstrom": [[-2.675, 2.675, 7.288], [2.675, -2.675, 7.288], [2.675, 2.675, -7.288]],
  "species": ["Sr", "Sr", "Be", "Be", "Pt", "Pt", "Pt", "Pt", "Pt", "Pt"],
  "fractional_positions": [[0.146, 0.146, 0.000], [0.854, 0.854, 0.000], [0.500, 0.500, 0.000], [0.750, 0.250, 0.500], [0.032, 0.532, 0.500], [0.129, 0.371, 0.757], [0.468, 0.968, 0.500], [0.614, 0.371, 0.243], [0.629, 0.386, 0.757], [0.629, 0.871, 0.243]],
  "n_ef_per_ev_cell": 4.612,
  "delta_e_f_ev_per_atom": -0.3344,
  "relative_energy_mev_per_atom": 410,
  "volume_a3_per_fu": 104
}


No. 4
{
  "formula": "Li2VPd5",
  "functional": "GGA-PBE",
  "state": "optimized geometry",
  "lattice_angstrom": [[5.335, 0.000, 0.000], [0.000, 10.043, 0.000], [0.000, 0.000, 4.283]],
  "species": ["Li", "Li", "Li", "Li", "V", "V", "Pd", "Pd", "Pd", "Pd", "Pd", "Pd", "Pd", "Pd", "Pd", "Pd"],
  "fractional_positions": [[0.143, 0.128, 0.000], [0.357, 0.628, 0.000], [0.643, 0.372, 0.000], [0.857, 0.872, 0.000], [0.000, 0.500, 0.500], [0.500, 0.000, 0.500], [0.000, 0.000, 0.500], [0.155, 0.385, 0.000], [0.155, 0.731, 0.500], [0.345, 0.231, 0.500], [0.345, 0.885, 0.000], [0.500, 0.500, 0.500], [0.655, 0.115, 0.000], [0.655, 0.769, 0.500], [0.845, 0.269, 0.500], [0.845, 0.615, 0.000]],
  "n_ef_per_ev_cell": 11.083,
  "delta_e_f_ev_per_atom": -0.3082,
  "relative_energy_mev_per_atom": 0,
  "volume_a3_per_fu": 115
}


No. 5
{
  "formula": "ScNi3H",
  "functional": "GGA-PBE",
  "state": "optimized geometry",
  "lattice_angstrom": [[5.321, 0.000, 0.000], [-2.661, 4.608, 0.000], [0.000, 0.000, 4.382]],
  "species": ["Sc", "Sc", "Ni", "Ni", "Ni", "Ni", "Ni", "Ni", "H", "H"],
  "fractional_positions": [[0.000, 0.000, 0.000], [0.333, 0.667, 0.498], [0.345, 0.173, 0.496], [0.513, 0.026, 0.004], [0.513, 0.487, 0.004], [0.827, 0.173, 0.496], [0.827, 0.655, 0.496], [0.974, 0.487, 0.004], [0.333, 0.667, 0.996], [0.667, 0.333, 0.723]],
  "n_ef_per_ev_cell": 0.920,
  "relative_energy_mev_per_atom": 28,
  "volume_a3_per_fu": 54
}


No. 6
{
  "formula": "BeCdPt3",
  "functional": "GGA-PBE",
  "state": "optimized geometry",
  "lattice_angstrom": [[7.131, 0.000, 0.000], [0.000, 2.858, 0.000], [-1.788, 0.000, 7.318]],
  "species": ["Be", "Be", "Cd", "Cd", "Pt", "Pt", "Pt", "Pt", "Pt", "Pt"],
  "fractional_positions": [[0.099, 0.000, 0.231], [0.901, 0.500, 0.769], [0.472, 0.501, 0.803], [0.528, 0.001, 0.197], [0.110, 0.001, 0.655], [0.184, 0.501, 0.008], [0.314, 0.501, 0.419], [0.686, 0.001, 0.581], [0.816, 0.001, 0.992], [0.890, 0.501, 0.345]],
  "n_ef_per_ev_cell": 4.503,
  "delta_e_f_ev_per_atom": -0.4161,
  "relative_energy_mev_per_atom": 22,
  "volume_a3_per_fu": 75
}


No. 7
{
  "formula": "Be2HgIr",
  "functional": "GGA-PBE",
  "state": "optimized geometry",
  "lattice_angstrom": [[4.007, -1.515, 0.000], [4.007, 1.515, 0.000], [-1.031, 0.000, 4.729]],
  "species": ["Be", "Be", "Hg", "Ir"],
  "fractional_positions": [[0.221, 0.221, 0.131], [0.779, 0.779, 0.869], [0.000, 0.000, 0.500], [0.500, 0.500, 0.000]],
  "n_ef_per_ev_cell": 0.861,
  "delta_e_f_ev_per_atom": 0.0546,
  "volume_a3_per_fu": 57
}


No. 8
{
  "formula": "CsYPbBr6",
  "functional": "GGA-PBE",
  "state": "optimized geometry",
  "lattice_angstrom": [[7.705, 0.000, 0.000], [-3.852, 6.672, 0.000], [0.000, 0.000, 7.918]],
  "species": ["Cs", "Y", "Pb", "Br", "Br", "Br", "Br", "Br", "Br"],
  "fractional_positions": [[0.000, 0.000, 0.000], [0.667, 0.333, 0.500], [0.333, 0.667, 0.500], [0.386, 0.023, 0.710], [0.386, 0.363, 0.290], [0.637, 0.023, 0.290], [0.637, 0.614, 0.710], [0.977, 0.363, 0.710], [0.977, 0.614, 0.290]],
  "n_ef_per_ev_cell": 0.000,
  "raw_formation_energy_ev_per_atom": -1.5805,
  "volume_a3_per_fu": 407
}